{"formula": "Cd2Cu2Sb", "functional": "PBE", "state": "optimized geometry", "mass_density_g_cm3": 8.16, "relative_energy_ev_per_atom": 0.059, "final_energy_ev_per_cell": -26.22, "raw_formation_energy_ev_per_atom": 0.2073, "lattice_angstrom": [[8.098, 0.000, 0.000], [0.000, 8.098, 0.000], [0.000, 0.000, 2.941]], "species": ["Cd", "Cd", "Cd", "Cd", "Cu", "Cu", "Cu", "Cu", "Sb", "Sb"], "fractional_positions": [[0.132, 0.368, 0.000], [0.368, 0.868, 0.000], [0.632, 0.132, 0.000], [0.868, 0.632, 0.000], [0.164, 0.664, 0.500], [0.336, 0.164, 0.500], [0.664, 0.836, 0.500], [0.836, 0.336, 0.500], [0.000, 0.000, 0.000], [0.500, 0.500, 0.000]]}

---

{"formula": "SmHo6Cd", "functional": "PBE", "state": "optimized geometry", "formation_enthalpy_0k_ev_per_atom": 0.054, "mass_density_g_cm3": 8.49, "final_energy_ev_per_cell": -32.67, "lattice_angstrom": [[4.615, 2.664, 3.321], [-4.615, 2.664, 3.321], [0.000, -5.329, 3.321]], "species": ["Sm", "Ho", "Ho", "Ho", "Ho", "Ho", "Ho", "Cd"], "fractional_positions": [[0.000, 0.000, 0.000], [0.051, 0.259, 0.541], [0.259, 0.541, 0.051], [0.459, 0.949, 0.741], [0.541, 0.051, 0.259], [0.741, 0.459, 0.949], [0.949, 0.741, 0.459], [0.500, 0.500, 0.500]]}

---

{"formula": "YHgPO2", "functional": "PBE", "state": "optimized geometry", "mass_density_g_cm3": 6.61, "relative_energy_ev_per_atom": 0.447, "final_energy_ev_per_cell": -23.87, "raw_formation_energy_ev_per_atom": -0.3556, "lattice_angstrom": [[4.240, 0.000, 0.000], [0.000, 4.240, 0.000], [0.000, 0.000, 4.928]], "species": ["Y", "Hg", "P", "O", "O"], "fractional_positions": [[0.000, 0.000, 0.000], [0.500, 0.500, 0.500], [0.500, 0.500, 0.000], [0.000, 0.500, 0.500], [0.500, 0.000, 0.500]]}

---

{"formula": "BeTl3Se", "functional": "PBE", "state": "optimized geometry", "mass_density_g_cm3": 5.24, "relative_energy_ev_per_atom": 0.621, "final_energy_ev_per_cell": -10.64, "raw_formation_energy_ev_per_atom": 0.7332, "lattice_angstrom": [[6.057, 0.000, 0.000], [0.000, 6.057, 0.000], [0.000, 0.000, 6.057]], "species": ["Be", "Tl", "Tl", "Tl", "Se"], "fractional_positions": [[0.000, 0.000, 0.000], [0.000, 0.500, 0.500], [0.500, 0.000, 0.500], [0.500, 0.500, 0.000], [0.500, 0.500, 0.500]]}